This record from Alexandria via LeMat-Bulk describes a relaxed structure of La3MnWS3O6. The functional is PBE+U.

CIF file:
```
data_La3MnWS3O6
_chemical_formula_sum 'La6 Mn2 W2 S6 O12'
_space_group_name_H-M_alt 'P 63/m'
_space_group_IT_number 176
_space_group_name_Hall '-P 6c'
_cell_length_a 9.5291
_cell_length_b 9.5291
_cell_length_c 5.6253
_cell_angle_alpha 90.00
_cell_angle_beta 90.00
_cell_angle_gamma 120.00
loop_
_atom_site_label
_atom_site_type_symbol
_atom_site_fract_x
_atom_site_fract_y
_atom_site_fract_z
La1 La 0.0868 0.6795 0.2500
Mn1 Mn 0.0000 0.0000 0.0000
W1 W 0.3333 0.6667 0.7500
S1 S 0.0449 0.8140 0.7500
O1 O 0.1605 0.5283 0.5252
```

Output
DFT total energy ... -7.52 eV per atom
Mass density ... 6.364 g cm⁻³